1.
A plane-wave DFT calculation with PBE was carried out for a geometry-optimized Ac6AgSn5 structure.

energy of formation from the pure elements: -0.556 eV/atom
DOS(E_F): 0.793 states/eV/atom
magnetization: 0.0000 μB per atom
crystal system: monoclinic

abc: 5.510 10.431 9.790
angles: 57.81 73.63 58.06
Fractional coordinates of all 12 atoms:
Ac 0.755 0.077 0.336
Ac 0.245 0.587 0.336
Ac 0.260 0.240 0.000
Ac 0.740 0.760 0.000
Ac 0.755 0.413 0.664
Ac 0.245 0.923 0.664
Ag 0.000 0.000 0.000
Sn 0.500 0.166 0.667
Sn 0.000 0.341 0.318
Sn 0.500 0.500 0.000
Sn 0.000 0.659 0.682
Sn 0.500 0.834 0.333

***

2.
A plane-wave DFT calculation with PBE was carried out for a geometry-optimized Ac5Ag2Sn structure.

energy of formation from the pure elements: -0.312 eV/atom
DOS(E_F): 1.278 states/eV/atom
magnetization: 0.0000 μB per atom
crystal system: tetragonal

abc: 8.859 8.859 9.581
angles: 117.54 117.54 90.00
Fractional coordinates of all 16 atoms:
Ac 0.512 0.695 0.706
Ac 0.805 0.988 0.294
Ac 0.000 0.000 0.000
Ac 0.500 0.500 0.000
Ac 0.195 0.012 0.706
Ac 0.695 0.195 0.706
Ac 0.012 0.512 0.706
Ac 0.305 0.805 0.294
Ac 0.988 0.488 0.294
Ac 0.488 0.305 0.294
Ag 0.130 0.370 0.000
Ag 0.630 0.130 0.000
Ag 0.370 0.870 0.000
Ag 0.870 0.630 0.000
Sn 0.750 0.750 0.500
Sn 0.250 0.250 0.500

***

3.
A plane-wave DFT calculation with PBE was carried out for a geometry-optimized AcAg3Sn2 structure.

energy of formation from the pure elements: -0.319 eV/atom
DOS(E_F): 0.417 states/eV/atom
magnetization: 0.0000 μB per atom
crystal system: monoclinic

abc: 4.801 9.765 7.316
angles: 116.94 90.00 104.23
Fractional coordinates of all 12 atoms:
Ac 0.876 0.752 0.926
Ac 0.124 0.248 0.074
Ag 0.307 0.614 0.526
Ag 0.932 0.864 0.536
Ag 0.635 0.271 0.766
Ag 0.365 0.729 0.234
Ag 0.068 0.136 0.464
Ag 0.693 0.386 0.474
Sn 0.483 0.967 0.767
Sn 0.517 0.033 0.233
Sn 0.771 0.541 0.228
Sn 0.229 0.459 0.772

***

4.
A plane-wave DFT calculation with PBE was carried out for a geometry-optimized Ac2Ag2Sn3 structure.

energy above the lowest structure with this stoichiometry: 0.0 meV per atom
energy of formation from the pure elements: -0.556 eV/atom
DOS(E_F): 0.200 states/eV/atom
magnetization: 0.0000 μB per atom
crystal system: orthorhombic

abc: 4.958 7.663 10.752
angles: 90.00 103.33 90.00
Fractional coordinates of all 14 atoms:
Ac 0.160 0.250 0.319
Ac 0.840 0.750 0.681
Ac 0.951 0.250 0.902
Ac 0.049 0.750 0.098
Ag 0.693 0.942 0.387
Ag 0.307 0.058 0.613
Ag 0.307 0.442 0.613
Ag 0.693 0.558 0.387
Sn 0.220 0.750 0.439
Sn 0.780 0.250 0.561
Sn 0.565 0.440 0.131
Sn 0.435 0.560 0.869
Sn 0.435 0.940 0.869
Sn 0.565 0.060 0.131

***

5.
A plane-wave DFT calculation with PBE was carried out for a geometry-optimized Ac2Ag4Sn5 structure.

energy of formation from the pure elements: -0.288 eV/atom
DOS(E_F): 0.474 states/eV/atom
magnetization: 0.0000 μB per atom
crystal system: orthorhombic

abc: 6.407 7.474 7.473
angles: 81.16 64.61 64.62
Fractional coordinates of all 11 atoms:
Ac 0.268 0.732 0.731
Ac 0.732 0.268 0.269
Ag 0.257 0.093 0.394
Ag 0.743 0.907 0.606
Ag 0.743 0.606 0.907
Ag 0.257 0.394 0.093
Sn 0.250 0.216 0.784
Sn 0.750 0.784 0.216
Sn 0.000 0.500 0.500
Sn 0.750 0.216 0.784
Sn 0.250 0.784 0.216

***

6.
A plane-wave DFT calculation with PBE was carried out for a geometry-optimized Ac5Ag2Sn5 structure.

energy above the lowest structure with this stoichiometry: 0.0 meV per atom
energy of formation from the pure elements: -0.616 eV/atom
DOS(E_F): 0.556 states/eV/atom
magnetization: 0.0000 μB per atom
crystal system: monoclinic

abc: 4.870 8.918 9.723
angles: 90.09 75.50 74.15
Fractional coordinates of all 12 atoms:
Ac 0.000 0.500 0.500
Ac 0.689 0.703 0.919
Ac 0.370 0.935 0.325
Ac 0.630 0.065 0.675
Ac 0.311 0.297 0.081
Ag 0.391 0.465 0.753
Ag 0.609 0.535 0.247
Sn 0.711 0.227 0.351
Sn 0.935 0.309 0.821
Sn 0.065 0.691 0.179
Sn 0.289 0.773 0.649
Sn 0.000 0.000 0.000